(1)
Below is crystalline Er6BiPb3 at its relaxed geometry, with properties calculated at the PBE-GGA level.

Computed properties:
Formation energy from the elements ... -0.3172 eV/atom
Magnetization ... 1.80 μB per formula unit
Fermi-level density of states ... 8.8 states/eV/f.u.

a b c (Å): 4.4419 11.3556 12.7254
angles (deg): 102.65 90.00 90.00
With the nearest neighbours (Å) after each atom.
Sites, in units of the cell vectors:
Pb: 0.2500 0.6432 0.1438  6 Er 3.13-3.30
Pb: 0.2500 0.8359 0.9245  6 Er 2.99-3.12
Pb: 0.7500 0.6761 0.5208  7 Er 3.02-3.19
Pb: 0.7500 0.1641 0.0755  6 Er 2.99-3.12
Pb: 0.2500 0.3239 0.4792  7 Er 3.02-3.19
Pb: 0.7500 0.3568 0.8562  6 Er 3.13-3.30
Er: 0.7500 0.4441 0.1097  4 Pb 3.11-3.16
Er: 0.7500 0.4618 0.6341  4 Pb 3.09-3.30
Er: 0.7500 0.7856 0.7639  3 Pb 2.99-3.07, 1 Bi 3.18
Er: 0.7500 0.7609 0.3122  3 Pb 3.02-3.17, 2 Bi 3.19
Er: 0.2500 0.1055 0.9054  3 Pb 3.07-3.12, 2 Bi 3.41, 1 Er 3.44
Er: 0.7500 0.8945 0.0946  3 Pb 3.07-3.12, 2 Bi 3.41, 1 Er 3.44
Er: 0.7500 0.1177 0.4577  2 Pb 3.19, 3 Bi 3.24-3.36
Er: 0.2500 0.2144 0.2361  3 Pb 2.99-3.07, 1 Bi 3.18
Er: 0.2500 0.2391 0.6878  3 Pb 3.02-3.17, 2 Bi 3.19
Er: 0.2500 0.5559 0.8903  4 Pb 3.11-3.16
Er: 0.2500 0.8823 0.5423  2 Pb 3.19, 3 Bi 3.24-3.36
Er: 0.2500 0.5382 0.3659  4 Pb 3.09-3.30
Bi: 0.2500 0.9603 0.3025  8 Er 3.18-3.41
Bi: 0.7500 0.0397 0.6975  8 Er 3.18-3.41

(2)
Below is crystalline RbGaTcPd2 at its relaxed geometry, with properties calculated at the PBE-GGA level.

Computed properties:
Formation energy from the elements ... 1.1358 eV/atom
Magnetization ... 3.64 μB per formula unit
Fermi-level density of states ... 4.7 states/eV/f.u.

a b c (Å): 4.7581 5.6249 4.7581
angles (deg): 90.00 90.00 90.00
With the nearest neighbours (Å) after each atom.
Sites, in units of the cell vectors:
Pd: 0.0000 0.0000 0.5000  2 Ga 2.38
Pd: 0.5000 0.0000 0.0000  2 Ga 2.38
Tc: 0.5000 0.5000 0.5000  4 Rb 3.36, 8 Pd 3.68
Ga: 0.0000 0.0000 0.0000  4 Pd 2.38
Rb: 0.0000 0.5000 0.0000  2 Ga 2.81

(3)
Below is crystalline NdEr4Th5 at its relaxed geometry, with properties calculated at the PBE-GGA level.

Computed properties:
Formation energy from the elements ... 0.2051 eV/atom
Magnetization ... 0.00 μB per formula unit
Fermi-level density of states ... 15.3 states/eV/f.u.

a b c (Å): 3.5269 8.3551 11.3433
angles (deg): 88.20 98.94 90.00
With the nearest neighbours (Å) after each atom.
Sites, in units of the cell vectors:
Er: 0.6793 0.9918 0.3587  5 Th 3.27-3.64, 6 Er 3.40-3.63
Er: 0.9068 0.7398 0.8135  4 Th 3.30-3.50, 4 Er 3.40-3.53, 2 Nd 3.53
Er: 0.0932 0.2602 0.1865  4 Th 3.30-3.50, 4 Er 3.40-3.53, 2 Nd 3.53
Er: 0.3207 0.0082 0.6413  5 Th 3.27-3.64, 6 Er 3.40-3.63
Th: 0.5000 0.5000 0.0000  4 Er 3.35, 6 Th 3.47-3.53
Th: 0.2368 0.3355 0.4735  4 Er 3.27-3.64, 4 Th 3.33-3.53
Th: 0.7632 0.6645 0.5265  4 Er 3.27-3.64, 4 Th 3.33-3.53
Th: 0.1145 0.6736 0.2290  7 Th 3.47-3.87, 3 Er 3.50-3.54
Th: 0.8855 0.3264 0.7710  7 Th 3.47-3.87, 3 Er 3.50-3.54
Nd: 0.5000 0.0000 0.0000  2 Nd 3.53, 4 Er 3.53

(4)
Below is crystalline YGePd at its relaxed geometry, with properties calculated at the PBE-GGA level.

Computed properties:
Formation energy from the elements ... -0.7630 eV/atom
Magnetization ... 0.00 μB per formula unit
Fermi-level density of states ... 4.4 states/eV/f.u.

a b c (Å): 4.5495 4.5495 4.5495
angles (deg): 60.00 60.00 60.00
With the nearest neighbours (Å) after each atom.
Sites, in units of the cell vectors:
Y: 0.5000 0.5000 0.5000  4 Pd 2.79
Pd: 0.2500 0.2500 0.2500  4 Ge 2.79, 4 Y 2.79
Ge: 0.0000 0.0000 0.0000  4 Pd 2.79

(5)
Below is crystalline La7Tb4Er at its relaxed geometry, with properties calculated at the PBE-GGA level.

Computed properties:
Formation energy from the elements ... 0.0188 eV/atom
ΔE to the lowest computed polymorph ... 0.0 meV per atom
Magnetization ... 0.00 μB per formula unit
Fermi-level density of states ... 19.2 states/eV/f.u.

a b c (Å): 7.3577 9.7612 9.1113
angles (deg): 81.12 89.91 41.14
With the nearest neighbours (Å) after each atom.
Sites, in units of the cell vectors:
La: 0.2485 0.5004 0.9975  3 Tb 3.60-3.67, 7 La 3.63-3.70, 2 Er 3.70-3.71
La: 0.7515 0.4996 0.0025  3 Tb 3.60-3.67, 7 La 3.63-3.70, 2 Er 3.70-3.71
La: 0.0317 0.7187 0.3346  6 Tb 3.62-3.71, 5 La 3.65-3.70, 1 Er 3.65
La: 0.9683 0.2813 0.6654  6 Tb 3.62-3.71, 5 La 3.65-3.70, 1 Er 3.65
La: 0.7798 0.2194 0.3329  1 Er 3.63, 6 La 3.63-3.70, 5 Tb 3.67-3.73
La: 0.2202 0.7806 0.6671  1 Er 3.63, 6 La 3.63-3.70, 5 Tb 3.67-3.73
La: 0.5000 0.0000 0.0000  4 Tb 3.61-3.65, 6 La 3.66-3.70, 2 Er 3.68
Tb: 0.7207 0.7798 0.6649  4 Tb 3.62-3.70, 8 La 3.62-3.71
Tb: 0.4702 0.2771 0.6697  8 La 3.60-3.73, 1 Er 3.63, 3 Tb 3.64-3.70
Tb: 0.5298 0.7229 0.3303  8 La 3.60-3.73, 1 Er 3.63, 3 Tb 3.64-3.70
Tb: 0.2793 0.2202 0.3351  4 Tb 3.62-3.70, 8 La 3.62-3.71
Er: 0.0000 0.0000 0.0000  10 La 3.63-3.71, 2 Tb 3.63

(6)
Below is crystalline GaAsP3 at its relaxed geometry, with properties calculated at the PBE-GGA level.

Computed properties:
Formation energy from the elements ... 0.9341 eV/atom
ΔE to the lowest computed polymorph ... 0.0 meV per atom
Magnetization ... 0.00 μB per formula unit
Fermi-level density of states ... 4.2 states/eV/f.u.

a b c (Å): 4.7627 4.7627 4.7627
angles (deg): 90.00 90.00 90.00
With the nearest neighbours (Å) after each atom.
Sites, in units of the cell vectors:
As: 0.0000 0.0000 0.0000  6 P 2.38
P: 0.0000 0.5000 0.0000  2 As 2.38
P: 0.5000 0.0000 0.0000  2 As 2.38
P: 0.0000 0.0000 0.5000  2 As 2.38
Ga: 0.5000 0.5000 0.5000  12 P 3.37

(7)
Below is crystalline CaFeSN2 at its relaxed geometry, with properties calculated at the PBE-GGA level.

Computed properties:
ΔE to the lowest computed polymorph ... 2199.2 meV per atom
Magnetization ... 0.55 μB per formula unit
Fermi-level density of states ... 8.8 states/eV/f.u.
ΔE_f (raw) ... 2.15 eV/atom

a b c (Å): 4.2565 4.2565 5.3324
angles (deg): 90.00 90.00 90.00
With the nearest neighbours (Å) after each atom.
Sites, in units of the cell vectors:
Ca: 0.0000 0.0000 0.0000  4 N 2.13
N: 0.5000 0.0000 0.0000  2 Ca 2.13
N: 0.0000 0.5000 0.0000  2 Ca 2.13
S: 0.0000 0.0000 0.5000  2 Ca 2.67
Fe: 0.5000 0.5000 0.5000  4 S 3.01

(8)
Below is crystalline AcPmZn2Ge2 at its relaxed geometry, with properties calculated at the PBE-GGA level.

Computed properties:
Formation energy from the elements ... -0.6478 eV/atom
Magnetization ... 0.00 μB per formula unit
Fermi-level density of states ... 4.0 states/eV/f.u.

a b c (Å): 4.2934 4.2934 8.8247
angles (deg): 90.00 90.00 120.00
With the nearest neighbours (Å) after each atom.
Sites, in units of the cell vectors:
Pm: 0.0000 0.0000 0.5000  6 Ge 3.22, 6 Zn 3.24
Ge: 0.3333 0.6667 0.2677  3 Zn 2.48
Ge: 0.6667 0.3333 0.7323  3 Zn 2.48
Zn: 0.3333 0.6667 0.7358  3 Ge 2.48
Zn: 0.6667 0.3333 0.2642  3 Ge 2.48
Ac: 0.0000 0.0000 0.0000  6 Zn 3.40, 6 Ge 3.42

(9)
Below is crystalline CaTb8Sm6 at its relaxed geometry, with properties calculated at the PBE-GGA level.

Computed properties:
Formation energy from the elements ... 0.1805 eV/atom
Magnetization ... 0.00 μB per formula unit
Fermi-level density of states ... 20.2 states/eV/f.u.

a b c (Å): 8.2528 8.2528 8.2528
angles (deg): 72.19 72.19 72.19
With the nearest neighbours (Å) after each atom.
Sites, in units of the cell vectors:
Ca: 0.0000 0.0000 0.0000  6 Tb 3.09
Tb: 0.1350 0.6226 0.9482  1 Ca 3.09, 2 Tb 3.21-3.39, 2 Sm 3.42-3.44
Tb: 0.3774 0.0518 0.8650  1 Ca 3.09, 2 Tb 3.21-3.39, 2 Sm 3.42-3.44
Tb: 0.0518 0.8650 0.3774  1 Ca 3.09, 2 Tb 3.21-3.39, 2 Sm 3.42-3.44
Tb: 0.7640 0.7640 0.7640  6 Tb 3.39-3.55, 3 Sm 3.76
Tb: 0.6226 0.9482 0.1350  1 Ca 3.09, 2 Tb 3.21-3.39, 2 Sm 3.42-3.44
Tb: 0.8650 0.3774 0.0518  1 Ca 3.09, 2 Tb 3.21-3.39, 2 Sm 3.42-3.44
Tb: 0.9482 0.1350 0.6226  1 Ca 3.09, 2 Tb 3.21-3.39, 2 Sm 3.42-3.44
Tb: 0.2360 0.2360 0.2360  6 Tb 3.39-3.55, 3 Sm 3.76
Sm: 0.4336 0.6188 0.1717  7 Tb 3.42-3.81, 3 Sm 3.64-3.78
Sm: 0.8283 0.5664 0.3812  7 Tb 3.42-3.81, 3 Sm 3.64-3.78
Sm: 0.6188 0.1717 0.4336  7 Tb 3.42-3.81, 3 Sm 3.64-3.78
Sm: 0.5664 0.3812 0.8283  7 Tb 3.42-3.81, 3 Sm 3.64-3.78
Sm: 0.3812 0.8283 0.5664  7 Tb 3.42-3.81, 3 Sm 3.64-3.78
Sm: 0.1717 0.4336 0.6188  7 Tb 3.42-3.81, 3 Sm 3.64-3.78

(10)
Below is crystalline Zr2NbIn at its relaxed geometry, with properties calculated at the PBE-GGA level.

Computed properties:
Formation energy from the elements ... 0.0286 eV/atom
Magnetization ... 0.00 μB per formula unit
Fermi-level density of states ... 4.9 states/eV/f.u.

a b c (Å): 3.2392 3.2392 9.9698
angles (deg): 80.65 80.65 60.00
With the nearest neighbours (Å) after each atom.
Sites, in units of the cell vectors:
Zr: 0.7459 0.7459 0.7624  3 Nb 2.99, 3 In 3.18, 6 Zr 3.24
Zr: 0.2541 0.2541 0.2376  3 Nb 2.99, 3 In 3.18, 6 Zr 3.24
Nb: 0.0000 0.0000 0.0000  6 Zr 2.99, 6 Nb 3.24
In: 0.5000 0.5000 0.5000  6 Zr 3.18, 6 In 3.24

Q: What is the formula in the seventh record?
A: CaFeSN2